Compound: NbRe3As
Source: Alexandria via LeMat-Bulk
Functional: PBE
Structure: optimized geometry

```
NbRe3As
1.0
4.771 0.000 0.000
0.000 4.771 0.000
0.000 0.000 4.771
Nb Re As
1 3 1
direct
0.000 0.000 0.000 Nb
0.000 0.000 0.500 Re
0.000 0.500 0.000 Re
0.500 0.000 0.000 Re
0.500 0.500 0.500 As
```

N(E_F), states/eV per cell: 7.579
Volume, Å³ per cell: 109
Total DFT energy (no corrections), eV per cell: -39.766
Energy relative to the elements, eV/atom: 2.46
Symmetry: Pm-3m, No. 221

---

Compound: Nb2ReAs2
Source: Alexandria via LeMat-Bulk
Functional: PBE
Structure: optimized geometry

```
Nb2ReAs2
1.0
6.920 0.000 0.000
0.000 6.920 0.000
0.000 0.000 3.433
Nb Re As
4 2 4
direct
0.149 0.351 0.000 Nb
0.351 0.851 0.000 Nb
0.649 0.149 0.000 Nb
0.851 0.649 0.000 Nb
0.000 0.000 0.500 Re
0.500 0.500 0.500 Re
0.151 0.651 0.500 As
0.349 0.151 0.500 As
0.651 0.849 0.500 As
0.849 0.349 0.500 As
```

N(E_F), states/eV per cell: 8.565
Volume, Å³ per cell: 164
Total DFT energy (no corrections), eV per cell: -84.645
Energy relative to the elements, eV/atom: -0.09
Symmetry: P4/mbm, No. 127

---

Compound: NbReAs
Source: Alexandria via LeMat-Bulk
Functional: PBE
Structure: optimized geometry

```
NbReAs
1.0
2.231 1.288 6.436
-2.231 1.288 6.436
0.000 -2.576 6.436
Nb Re As
2 2 2
direct
0.077 0.077 0.077 Nb
0.923 0.923 0.923 Nb
0.345 0.345 0.345 Re
0.655 0.655 0.655 Re
0.216 0.216 0.216 As
0.784 0.784 0.784 As
```

N(E_F), states/eV per cell: 5.813
Volume, Å³ per cell: 111
Total DFT energy (no corrections), eV per cell: -53.072
Energy relative to the elements, eV/atom: 0.21
Symmetry: R-3m, No. 166

---

Compound: NbRe3As
Source: Alexandria via LeMat-Bulk
Functional: PBE
Structure: optimized geometry

```
NbRe3As
1.0
4.498 0.000 0.000
0.000 4.498 0.000
0.000 0.000 4.498
Nb Re As
1 3 1
direct
0.000 0.000 0.000 Nb
0.000 0.500 0.500 Re
0.500 0.000 0.500 Re
0.500 0.500 0.000 Re
0.500 0.500 0.500 As
```

N(E_F), states/eV per cell: 1.893
Volume, Å³ per cell: 91
Total DFT energy (no corrections), eV per cell: -45.561
Energy relative to the elements, eV/atom: 1.30
Symmetry: Pm-3m, No. 221

---

Compound: Nb4ReAs2
Source: Alexandria via LeMat-Bulk
Functional: PBE
Structure: optimized geometry

```
Nb4ReAs2
1.0
4.796 0.000 0.000
0.000 4.796 0.000
0.000 0.000 13.340
Nb Re As
8 2 4
direct
0.000 0.000 0.187 Nb
0.000 0.000 0.813 Nb
0.000 0.500 0.000 Nb
0.000 0.500 0.500 Nb
0.500 0.000 0.000 Nb
0.500 0.000 0.500 Nb
0.500 0.500 0.313 Nb
0.500 0.500 0.687 Nb
0.000 0.000 0.000 Re
0.500 0.500 0.500 Re
0.000 0.000 0.377 As
0.000 0.000 0.623 As
0.500 0.500 0.123 As
0.500 0.500 0.877 As
```

N(E_F), states/eV per cell: 15.452
Volume, Å³ per cell: 307
Total DFT energy (no corrections), eV per cell: -113.185
Energy relative to the elements, eV/atom: 0.78
Symmetry: I4/mmm, No. 139

---

Compound: Nb2ReAsRu
Source: Alexandria via LeMat-Bulk
Functional: PBE
Structure: optimized geometry

```
Nb2ReAsRu
1.0
4.670 0.000 0.000
0.000 4.670 0.000
0.000 0.000 4.475
Nb Re As Ru
2 1 1 1
direct
0.000 0.500 0.000 Nb
0.500 0.000 0.000 Nb
0.000 0.000 0.500 Re
0.000 0.000 0.000 As
0.500 0.500 0.500 Ru
```

N(E_F), states/eV per cell: 6.641
Volume, Å³ per cell: 98
Total DFT energy (no corrections), eV per cell: -40.570
Energy relative to the elements, eV/atom: 1.19
Symmetry: P4/mmm, No. 123

---

Compound: NbReAs2Se
Source: Alexandria via LeMat-Bulk
Functional: PBE
Structure: optimized geometry

```
NbReAs2Se
1.0
4.705 0.000 0.000
0.000 4.705 0.000
0.000 0.000 5.218
Nb Re As Se
1 1 2 1
direct
0.000 0.000 0.000 Nb
0.500 0.500 0.500 Re
0.000 0.500 0.500 As
0.500 0.000 0.500 As
0.500 0.500 0.000 Se
```

N(E_F), states/eV per cell: 3.827
E_form (uncorrected), eV/atom: 0.94
Volume, Å³ per cell: 116
Total DFT energy (no corrections), eV per cell: -30.589
Symmetry: P4/mmm, No. 123

---

Compound: NbReAs2Se
Source: Alexandria via LeMat-Bulk
Functional: PBE
Structure: optimized geometry

```
NbReAs2Se
1.0
5.039 0.000 0.000
0.000 5.039 0.000
0.000 0.000 4.911
Nb Re As Se
1 1 2 1
direct
0.000 0.000 0.000 Nb
0.500 0.500 0.500 Re
0.000 0.500 0.000 As
0.500 0.000 0.000 As
0.000 0.000 0.500 Se
```

N(E_F), states/eV per cell: 3.009
E_form (uncorrected), eV/atom: 1.19
Volume, Å³ per cell: 125
Total DFT energy (no corrections), eV per cell: -29.327
Symmetry: P4/mmm, No. 123

---

Compound: Nb2ReAsW
Source: Alexandria via LeMat-Bulk
Functional: PBE
Structure: optimized geometry

```
Nb2ReAsW
1.0
4.870 0.000 0.000
0.000 4.870 0.000
0.000 0.000 4.777
Nb Re As W
2 1 1 1
direct
0.000 0.500 0.000 Nb
0.500 0.000 0.000 Nb
0.000 0.000 0.000 Re
0.500 0.500 0.500 As
0.000 0.000 0.500 W
```

N(E_F), states/eV per cell: 5.980
Volume, Å³ per cell: 113
Total DFT energy (no corrections), eV per cell: -43.080
Energy relative to the elements, eV/atom: 1.42
Symmetry: P4/mmm, No. 123

---

Compound: NbAsRh3
Source: Alexandria via LeMat-Bulk
Functional: PBE
Structure: optimized geometry

```
NbAsRh3
1.0
4.722 0.000 0.000
0.000 4.722 0.000
0.000 0.000 4.722
Nb As Rh
1 1 3
direct
0.000 0.000 0.000 Nb
0.500 0.500 0.500 As
0.000 0.000 0.500 Rh
0.000 0.500 0.000 Rh
0.500 0.000 0.000 Rh
```

N(E_F), states/eV per cell: 3.048
Volume, Å³ per cell: 105
Total DFT energy (no corrections), eV per cell: -31.690
Energy relative to the elements, eV/atom: 1.02
Symmetry: Pm-3m, No. 221

---

Compound: Nb3AsRh
Source: Alexandria via LeMat-Bulk
Functional: PBE
Structure: optimized geometry

```
Nb3AsRh
1.0
4.695 0.000 0.000
0.000 4.695 0.000
0.000 0.000 4.695
Nb As Rh
3 1 1
direct
0.000 0.000 0.500 Nb
0.000 0.500 0.000 Nb
0.500 0.000 0.000 Nb
0.000 0.000 0.000 As
0.500 0.500 0.500 Rh
```

N(E_F), states/eV per cell: 5.393
Volume, Å³ per cell: 103
Total DFT energy (no corrections), eV per cell: -38.320
Energy relative to the elements, eV/atom: 0.78
Symmetry: Pm-3m, No. 221

---

Compound: NbAs2Rh
Source: Alexandria via LeMat-Bulk
Functional: PBE
Structure: optimized geometry

```
NbAs2Rh
1.0
6.335 0.000 0.000
0.000 6.335 0.000
0.000 0.000 6.335
Nb As Rh
4 8 4
direct
0.000 0.000 0.000 Nb
0.000 0.500 0.500 Nb
0.500 0.000 0.500 Nb
0.500 0.500 0.000 Nb
0.250 0.250 0.250 As
0.250 0.250 0.750 As
0.250 0.750 0.250 As
0.250 0.750 0.750 As
0.750 0.250 0.250 As
0.750 0.250 0.750 As
0.750 0.750 0.250 As
0.750 0.750 0.750 As
0.000 0.000 0.500 Rh
0.000 0.500 0.000 Rh
0.500 0.000 0.000 Rh
0.500 0.500 0.500 Rh
```

N(E_F), states/eV per cell: 6.924
Volume, Å³ per cell: 254
Total DFT energy (no corrections), eV per cell: -111.799
Energy relative to the elements, eV/atom: -0.31
Symmetry: Fm-3m, No. 225

---

Compound: Nb2AsRh2
Source: Alexandria via LeMat-Bulk
Functional: PBE
Structure: optimized geometry

```
Nb2AsRh2
1.0
7.672 0.000 0.000
0.000 7.672 0.000
0.000 0.000 2.919
Nb As Rh
4 2 4
direct
0.163 0.337 0.000 Nb
0.337 0.837 0.000 Nb
0.663 0.163 0.000 Nb
0.837 0.663 0.000 Nb
0.000 0.000 0.500 As
0.500 0.500 0.500 As
0.131 0.631 0.500 Rh
0.369 0.131 0.500 Rh
0.631 0.869 0.500 Rh
0.869 0.369 0.500 Rh
```

N(E_F), states/eV per cell: 6.499
Volume, Å³ per cell: 172
Total DFT energy (no corrections), eV per cell: -81.135
Energy relative to the elements, eV/atom: -0.22
Symmetry: P4/mbm, No. 127

---

Compound: NbAsRh3
Source: Alexandria via LeMat-Bulk
Functional: PBE
Structure: optimized geometry

```
NbAsRh3
1.0
4.504 0.000 0.000
0.000 4.504 0.000
0.000 0.000 4.504
Nb As Rh
1 1 3
direct
0.000 0.000 0.000 Nb
0.500 0.500 0.500 As
0.000 0.500 0.500 Rh
0.500 0.000 0.500 Rh
0.500 0.500 0.000 Rh
```

N(E_F), states/eV per cell: 17.284
Volume, Å³ per cell: 91
Total DFT energy (no corrections), eV per cell: -33.904
Energy relative to the elements, eV/atom: 0.57
Symmetry: Pm-3m, No. 221

---

Compound: NbAs2Rh
Source: Alexandria via LeMat-Bulk
Functional: PBE
Structure: optimized geometry

```
NbAs2Rh
1.0
5.800 0.000 0.000
0.000 5.800 0.000
0.000 0.000 10.738
Nb As Rh
4 8 4
direct
0.000 0.000 0.000 Nb
0.000 0.500 0.250 Nb
0.500 0.000 0.750 Nb
0.500 0.500 0.500 Nb
0.231 0.250 0.625 As
0.250 0.731 0.875 As
0.250 0.769 0.375 As
0.269 0.250 0.125 As
0.731 0.750 0.125 As
0.750 0.231 0.375 As
0.750 0.269 0.875 As
0.769 0.750 0.625 As
0.000 0.000 0.500 Rh
0.000 0.500 0.750 Rh
0.500 0.000 0.250 Rh
0.500 0.500 0.000 Rh
```

N(E_F), states/eV per cell: 11.864
Volume, Å³ per cell: 361
Total DFT energy (no corrections), eV per cell: -106.290
Energy relative to the elements, eV/atom: 0.04
Symmetry: I-42d, No. 122

---

Compound: Nb3AsRh
Source: Alexandria via LeMat-Bulk
Functional: PBE
Structure: optimized geometry

```
Nb3AsRh
1.0
4.825 0.000 0.000
0.000 4.825 0.000
0.000 0.000 4.825
Nb As Rh
3 1 1
direct
0.000 0.000 0.500 Nb
0.000 0.500 0.000 Nb
0.500 0.000 0.000 Nb
0.500 0.500 0.500 As
0.000 0.000 0.000 Rh
```

N(E_F), states/eV per cell: 7.496
Volume, Å³ per cell: 112
Total DFT energy (no corrections), eV per cell: -37.352
Energy relative to the elements, eV/atom: 0.97
Symmetry: Pm-3m, No. 221

---

Compound: Sc2NbAsRh
Source: Alexandria via LeMat-Bulk
Functional: PBE
Structure: optimized geometry

```
Sc2NbAsRh
1.0
4.972 0.000 0.000
0.000 4.972 0.000
0.000 0.000 4.766
Sc Nb As Rh
2 1 1 1
direct
0.000 0.500 0.000 Sc
0.500 0.000 0.000 Sc
0.000 0.000 0.500 Nb
0.500 0.500 0.500 As
0.000 0.000 0.000 Rh
```

N(E_F), states/eV per cell: 4.804
Volume, Å³ per cell: 118
Total DFT energy (no corrections), eV per cell: -34.326
Energy relative to the elements, eV/atom: 0.08
Symmetry: P4/mmm, No. 123

---

Compound: NbAsRhSe2
Source: Alexandria via LeMat-Bulk
Functional: PBE
Structure: optimized geometry

```
NbAsRhSe2
1.0
4.957 0.000 0.000
0.000 4.957 0.000
0.000 0.000 5.011
Nb As Rh Se
1 1 1 2
direct
0.000 0.000 0.000 Nb
0.000 0.000 0.500 As
0.500 0.500 0.500 Rh
0.000 0.500 0.000 Se
0.500 0.000 0.000 Se
```

N(E_F), states/eV per cell: 7.212
E_form (uncorrected), eV/atom: 0.58
Volume, Å³ per cell: 123
Total DFT energy (no corrections), eV per cell: -26.121
Symmetry: P4/mmm, No. 123

---

Compound: NbAsRhSe2
Source: Alexandria via LeMat-Bulk
Functional: PBE
Structure: optimized geometry

```
NbAsRhSe2
1.0
4.819 0.000 0.000
0.000 4.819 0.000
0.000 0.000 4.666
Nb As Rh Se
1 1 1 2
direct
0.000 0.000 0.000 Nb
0.500 0.500 0.000 As
0.500 0.500 0.500 Rh
0.000 0.500 0.500 Se
0.500 0.000 0.500 Se
```

N(E_F), states/eV per cell: 5.396
E_form (uncorrected), eV/atom: 0.65
Volume, Å³ per cell: 108
Total DFT energy (no corrections), eV per cell: -25.813
Symmetry: P4/mmm, No. 123

---

Compound: NbSi2AsRh
Source: Alexandria via LeMat-Bulk
Functional: PBE
Structure: optimized geometry

```
NbSi2AsRh
1.0
4.807 0.000 0.000
0.000 4.807 0.000
0.000 0.000 4.886
Nb Si As Rh
1 2 1 1
direct
0.000 0.000 0.000 Nb
0.000 0.500 0.000 Si
0.500 0.000 0.000 Si
0.000 0.000 0.500 As
0.500 0.500 0.500 Rh
```

N(E_F), states/eV per cell: 7.215
E_form (uncorrected), eV/atom: 0.98
Volume, Å³ per cell: 113
Total DFT energy (no corrections), eV per cell: -28.031
Symmetry: P4/mmm, No. 123